Record 1
MnBr: optimized geometry, PBE-GGA.

The formation energy from raw total energies is -0.2 eV per formula unit. The calculation puts the calculated volume at 23.07 Å³/atom. Its crystal system is orthorhombic. For the density, the calculation gives 4853 kg/m³. The calculation puts the density of states at the Fermi level at 0.54 states/eV/cell. As for the space group: Cmme.

Cell lengths 3.422, 3.422, 7.881 Å; angles 90.00, 90.00, 90.22 degrees
Atoms (fractional coordinates):
Mn 0.250 0.750 0.906
Mn 0.750 0.250 0.094
Br 0.250 0.750 0.268
Br 0.750 0.250 0.732

Record 2
Ca5PmO6: optimized geometry, PBE-GGA.

The formation energy from raw total energies is -34.7 eV per formula unit. The calculation puts the calculated volume at 14.44 Å³/atom. Its crystal system is monoclinic. For the density, the calculation gives 4231 kg/m³. The calculation puts the density of states at the Fermi level at 1.75 states/eV/cell. As for the space group: C2/m.

Cell lengths 5.965, 5.965, 5.963 Å; angles 99.57, 99.57, 120.03 degrees
Atoms (fractional coordinates):
Ca 0.000 0.000 0.000
Ca 0.166 0.834 0.500
Ca 0.331 0.669 0.000
Ca 0.669 0.331 0.000
Ca 0.834 0.166 0.500
Pm 0.500 0.500 0.500
O 0.085 0.417 0.251
O 0.251 0.251 0.749
O 0.417 0.085 0.251
O 0.583 0.915 0.749
O 0.749 0.749 0.251
O 0.915 0.583 0.749